Entry 1:
Computed, not measured: Pm4Ga2Hg after structural relaxation at the PBE-GGA level of DFT.

Cell: 5.215 5.215 8.870 Å, 72.90 72.90 60.00°
Atoms (fractional coordinates):
Hg  0.000  0.000  0.000
Pm  0.130  0.130  0.609
Pm  0.870  0.870  0.391
Pm  0.617  0.617  0.148
Pm  0.383  0.383  0.852
Ga  0.748  0.748  0.756
Ga  0.252  0.252  0.244

**E**: -28.2 eV per cell
**Crystal system**: trigonal
**Density**: 7.77 g/cm3
**V**: 28.1 A^3/atom
**Calculated formation energy**: -0.4041 eV/atom

---

Entry 2:
Computed, not measured: PmGaHgPt after structural relaxation at the PBE-GGA level of DFT.

Cell: 4.953 4.953 4.953 Å, 60.00 60.00 60.00°
Atoms (fractional coordinates):
Ga  0.500  0.500  0.500
Pm  0.000  0.000  0.000
Hg  0.250  0.250  0.250
Pt  0.750  0.750  0.750

**E**: -16.3 eV per cell
**Crystal system**: cubic
**Density**: 11.80 g/cm3
**V**: 21.5 A^3/atom
**Calculated formation energy**: -0.5569 eV/atom

---

Entry 3:
Computed, not measured: PmPuGaHg after structural relaxation at the PBE-GGA level of DFT.

Cell: 5.270 5.270 5.270 Å, 60.00 60.00 60.00°
Site moments in Bohr magnetons follow the coordinates.
Atoms (fractional coordinates):
Hg  0.750  0.750  0.750  0.06
Pm  0.500  0.500  0.500  0.23
Pu  0.000  0.000  0.000  5.51
Ga  0.250  0.250  0.250  -0.03

**E**: -23.7 eV per cell
**Crystal system**: cubic
**Density**: 10.58 g/cm3
**V**: 25.9 A^3/atom
**Calculated formation energy**: -0.3126 eV/atom

---

Q: What is the formula in the first record?
A: Pm4Ga2Hg

---

Please write out number 3 again, unchanged.
Computed, not measured: PmPuGaHg after structural relaxation at the PBE-GGA level of DFT.

Cell: 5.270 5.270 5.270 Å, 60.00 60.00 60.00°
Site moments in Bohr magnetons follow the coordinates.
Atoms (fractional coordinates):
Hg  0.750  0.750  0.750  0.06
Pm  0.500  0.500  0.500  0.23
Pu  0.000  0.000  0.000  5.51
Ga  0.250  0.250  0.250  -0.03

**E**: -23.7 eV per cell
**Crystal system**: cubic
**Density**: 10.58 g/cm3
**V**: 25.9 A^3/atom
**Calculated formation energy**: -0.3126 eV/atom

---

Q: Among the records above, which one has the highest V?
A: Pm4Ga2Hg

---

Q: Which formula does entry 3 have?
A: PmPuGaHg